## RbLaTe3 (PBE)

Data for an optimized crystal structure of RbLaTe3.

relative energy among the computed polymorphs = 0 meV/atom
formation energy (no corrections) = -0.83 eV per atom
space group = No. 221
DFT total energy = -3.90 eV/atom

Unit cell a=6.234 b=6.234 c=6.234 alpha=90.00 beta=90.00 gamma=90.00
Fractional positions:
Rb (0.500, 0.500, 0.500)
Te (0.500, 0.000, 0.000)
La (0.000, 0.000, 0.000)
Te (0.000, 0.000, 0.500)
Te (0.000, 0.500, 0.000)